[1]
Below is crystalline Mg2Be2Nb at its relaxed geometry, with properties calculated at the PBE level. Values from VASP.

Geometry as Quantum ESPRESSO input:
```
&SYSTEM
  ibrav = 0, nat = 10, ntyp = 3
/
ATOMIC_SPECIES
Mg 24.30 Mg.upf
Be 9.01 Be.upf
Nb 92.91 Nb.upf
CELL_PARAMETERS angstrom
7.444 0.000 0.000
0.000 7.444 0.000
0.000 0.000 2.686
ATOMIC_POSITIONS angstrom
Mg 0.965 2.757 0.000
Mg 2.757 6.479 0.000
Mg 4.687 0.965 0.000
Mg 6.479 4.687 0.000
Be 1.272 4.994 1.343
Be 2.450 1.272 1.343
Be 4.994 6.172 1.343
Be 6.172 2.450 1.343
Nb 0.000 0.000 0.000
Nb 3.722 3.722 0.000
```

Values from the calculation:
crystal system = tetragonal
relative energy among the computed polymorphs = 36 meV per atom
raw total energy = -3.771 eV/atom
symmetry = P4/mbm, No. 127
energy of formation from the pure elements = 0.371 eV per atom

***

[2]
Below is crystalline SrMnSN2 at its relaxed geometry, with properties calculated at the PBE level. Values from VASP.

Geometry as Quantum ESPRESSO input:
```
&SYSTEM
  ibrav = 0, nat = 5, ntyp = 4
/
ATOMIC_SPECIES
Sr 87.62 Sr.upf
Mn 54.94 Mn.upf
S 32.06 S.upf
N 14.01 N.upf
CELL_PARAMETERS angstrom
3.865 0.000 0.000
0.000 3.865 0.000
0.000 0.000 4.891
ATOMIC_POSITIONS angstrom
Sr 0.000 0.000 0.000
Mn 1.932 1.932 2.445
S 1.932 1.932 0.000
N 0.000 1.932 2.445
N 1.932 0.000 2.445
```

Values from the calculation:
crystal system = tetragonal
formation energy (no corrections) = -164 meV/atom
relative energy among the computed polymorphs = 0 meV per atom
raw total energy = -6.490 eV/atom
symmetry = P4/mmm, No. 123

***

Q: Which size of the total moment values were calculated for the entries above? A: 0.00, 1.06, in Bohr magnetons per cell.
Q: Which D(E_F) values were calculated for the entries above? A: 0.3840, 0.4059, in states/eV/atom.